# Pa2GaW, relaxed, DFT PBE
# Total energy ... -8.59 eV per atom
# Energy of formation from the pure elements ... 60.1 kJ/mol of formula units
data_Pa2GaW
_space_group_name_H-M_alt 'P 1'
_space_group_IT_number 1
_cell_length_a 7.0387
_cell_length_b 7.0387
_cell_length_c 7.0387
_cell_angle_alpha 90.00
_cell_angle_beta 90.00
_cell_angle_gamma 90.00
loop_
_space_group_symop_operation_xyz
'x,y,z'
loop_
_atom_site_label
_atom_site_fract_x
_atom_site_fract_y
_atom_site_fract_z
_atom_site_occupancy
Pa1 0.2500 0.2500 0.2500 1
Pa2 0.2500 0.2500 0.7500 1
Pa3 0.2500 0.7500 0.2500 1
Pa4 0.2500 0.7500 0.7500 1
Pa5 0.7500 0.2500 0.2500 1
Pa6 0.7500 0.2500 0.7500 1
Pa7 0.7500 0.7500 0.2500 1
Pa8 0.7500 0.7500 0.7500 1
Ga1 0.0000 0.0000 0.0000 1
Ga2 0.0000 0.5000 0.5000 1
Ga3 0.5000 0.0000 0.5000 1
Ga4 0.5000 0.5000 0.0000 1
W1 0.0000 0.0000 0.5000 1
W2 0.0000 0.5000 0.0000 1
W3 0.5000 0.0000 0.0000 1
W4 0.5000 0.5000 0.5000 1

=====

# SrEr3Pd, relaxed, DFT PBE
# Total energy ... -4.30 eV per atom
# Energy of formation from the pure elements ... -91.4 kJ/mol of formula units
data_SrEr3Pd
_space_group_name_H-M_alt 'P 1'
_space_group_IT_number 1
_cell_length_a 5.5242
_cell_length_b 5.5242
_cell_length_c 5.5242
_cell_angle_alpha 90.00
_cell_angle_beta 90.00
_cell_angle_gamma 90.00
loop_
_space_group_symop_operation_xyz
'x,y,z'
loop_
_atom_site_label
_atom_site_fract_x
_atom_site_fract_y
_atom_site_fract_z
_atom_site_occupancy
Sr1 0.0000 0.0000 0.0000 1
Er1 0.0000 0.5000 0.5000 1
Er2 0.5000 0.0000 0.5000 1
Er3 0.5000 0.5000 0.0000 1
Pd1 0.5000 0.5000 0.5000 1